No. 1
# AcGa3Ru GGA-PBE relaxed
data_AcGa3Ru
_symmetry_space_group_name_H-M 'P m -3 m'
_symmetry_Int_Tables_number 221
_symmetry_space_group_name_Hall '-P 4 2 3'
_cell_length_a 4.819
_cell_length_b 4.819
_cell_length_c 4.819
_cell_angle_alpha 90.00
_cell_angle_beta 90.00
_cell_angle_gamma 90.00
loop_
_atom_site_label
_atom_site_fract_x
_atom_site_fract_y
_atom_site_fract_z
Ac1 0.000 0.000 0.000
Ga1 0.000 0.500 0.500
Ru1 0.500 0.500 0.500
# D(E_F): 0.40 states/eV/atom
# ΔH_f (0 K): -2.296 eV per formula unit
# energy above the lowest structure with this stoichiometry: 0.047 eV per atom
# total DFT energy (no corrections): -24.76 eV per cell



No. 2
# Ac2GaRu GGA-PBE relaxed
data_Ac2GaRu
_symmetry_space_group_name_H-M 'C 1 2/c 1'
_symmetry_Int_Tables_number 15
_cell_length_a 11.866
_cell_length_b 5.003
_cell_length_c 8.902
_cell_angle_alpha 90.00
_cell_angle_beta 111.97
_cell_angle_gamma 90.00
loop_
_symmetry_equiv_pos_as_xyz
'x,y,z'
'-x,-y,-z'
'-x,y,-z+1/2'
'x,-y,z+1/2'
'x+1/2,y+1/2,z'
'-x+1/2,-y+1/2,-z'
'-x+1/2,y+1/2,-z+1/2'
'x+1/2,-y+1/2,z+1/2'
loop_
_atom_site_label
_atom_site_fract_x
_atom_site_fract_y
_atom_site_fract_z
Ac1 0.167 0.000 0.083
Ga1 0.000 0.499 0.250
Ru1 0.000 0.001 0.750
# D(E_F): 0.51 states/eV/atom
# ΔH_f (0 K): -1.188 eV per formula unit
# total DFT energy (no corrections): -86.83 eV per cell



No. 3
# Ac4GaRu3 GGA-PBE relaxed
data_Ac4GaRu3
_symmetry_space_group_name_H-M 'P m m 2'
_symmetry_Int_Tables_number 25
_cell_length_a 4.489
_cell_length_b 4.559
_cell_length_c 11.284
_cell_angle_alpha 90.00
_cell_angle_beta 90.00
_cell_angle_gamma 90.00
loop_
_symmetry_equiv_pos_as_xyz
'x,y,z'
'-x,-y,z'
'-x,y,z'
'x,-y,z'
loop_
_atom_site_label
_atom_site_fract_x
_atom_site_fract_y
_atom_site_fract_z
Ac1 0.000 0.000 0.000
Ac2 0.000 0.500 0.481
Ac3 0.500 0.000 0.282
Ac4 0.500 0.500 0.765
Ga1 0.500 0.500 0.078
Ru1 0.000 0.000 0.668
Ru2 0.000 0.500 0.191
Ru3 0.500 0.000 0.582
# D(E_F): 0.83 states/eV/atom
# ΔH_f (0 K): -1.603 eV per formula unit
# total DFT energy (no corrections): -48.89 eV per cell



No. 4
# AcScGaRu GGA-PBE relaxed
data_AcScGaRu
_symmetry_space_group_name_H-M 'F -4 3 m'
_symmetry_Int_Tables_number 216
_symmetry_space_group_name_Hall 'F -4 2 3'
_cell_length_a 7.139
_cell_length_b 7.139
_cell_length_c 7.139
_cell_angle_alpha 90.00
_cell_angle_beta 90.00
_cell_angle_gamma 90.00
loop_
_atom_site_label
_atom_site_fract_x
_atom_site_fract_y
_atom_site_fract_z
Ac1 0.000 0.000 0.000
Sc1 0.000 0.000 0.500
Ga1 0.250 0.250 0.250
Ru1 0.250 0.250 0.750
# D(E_F): 0.69 states/eV/atom
# ΔH_f (0 K): -0.760 eV per formula unit
# total DFT energy (no corrections): -94.01 eV per cell



No. 5
# Ac2GaSiRu GGA-PBE relaxed
data_Ac2GaSiRu
_symmetry_space_group_name_H-M 'P 4/n m m'
_symmetry_Int_Tables_number 129
_cell_length_a 4.559
_cell_length_b 4.559
_cell_length_c 13.952
_cell_angle_alpha 90.00
_cell_angle_beta 90.00
_cell_angle_gamma 90.00
loop_
_symmetry_equiv_pos_as_xyz
'x,y,z'
'-x,-y,-z'
'-y+1/2,x,z'
'y+1/2,-x,-z'
'-x+1/2,-y+1/2,z'
'x+1/2,y+1/2,-z'
'y,-x+1/2,z'
'-y,x+1/2,-z'
'x+1/2,-y,-z'
'-x+1/2,y,z'
'-y,-x,-z'
'y,x,z'
'-x,y+1/2,-z'
'x,-y+1/2,z'
'y+1/2,x+1/2,-z'
'-y+1/2,-x+1/2,z'
loop_
_atom_site_label
_atom_site_fract_x
_atom_site_fract_y
_atom_site_fract_z
Ac1 0.250 0.250 0.114
Ac2 0.250 0.250 0.656
Ga1 0.250 0.250 0.416
Si1 0.250 0.250 0.884
Ru1 0.250 0.750 0.500
# D(E_F): 1.11 states/eV/atom
# total DFT energy (no corrections): -55.98 eV per cell



No. 6
# AcTbGa2Ru2 GGA-PBE relaxed
data_AcTbGa2Ru2
_symmetry_space_group_name_H-M 'P -3 m 1'
_symmetry_Int_Tables_number 164
_symmetry_space_group_name_Hall '-P 3 2"'
_cell_length_a 4.3500
_cell_length_b 4.3500
_cell_length_c 8.0608
_cell_angle_alpha 90.00
_cell_angle_beta 90.00
_cell_angle_gamma 120.00
loop_
_atom_site_label
_atom_site_fract_x
_atom_site_fract_y
_atom_site_fract_z
Ac1 0.0000 0.0000 0.0000
Tb1 0.0000 0.0000 0.5000
Ga1 0.3333 0.6667 0.2843
Ru1 0.3333 0.6667 0.7248
# D(E_F): 0.60 states/eV/atom
# ΔH_f (0 K): -2.675 eV per formula unit
# total DFT energy (no corrections): -36.02 eV per cell



No. 7
# Ac2Ga6TcRu GGA-PBE relaxed
data_Ac2Ga6TcRu
_symmetry_space_group_name_H-M 'C 1 2/m 1'
_symmetry_Int_Tables_number 12
_cell_length_a 9.664
_cell_length_b 9.661
_cell_length_c 6.832
_cell_angle_alpha 90.00
_cell_angle_beta 134.94
_cell_angle_gamma 90.00
loop_
_symmetry_equiv_pos_as_xyz
'x,y,z'
'-x,-y,-z'
'-x,y,-z'
'x,-y,z'
'x+1/2,y+1/2,z'
'-x+1/2,-y+1/2,-z'
'-x+1/2,y+1/2,-z'
'x+1/2,-y+1/2,z'
loop_
_atom_site_label
_atom_site_fract_x
_atom_site_fract_y
_atom_site_fract_z
Ac1 0.000 0.250 0.000
Ga1 0.000 0.249 0.500
Ga2 0.249 0.000 0.500
Ga3 0.249 0.000 0.998
Tc1 0.000 0.500 0.500
Ru1 0.000 0.000 0.500
# D(E_F): 0.50 states/eV/atom
# ΔH_f (0 K): -4.417 eV per formula unit
# total DFT energy (no corrections): -100.87 eV per cell



No. 8
# AcThGaRu GGA-PBE relaxed
data_AcThGaRu
_symmetry_space_group_name_H-M 'F -4 3 m'
_symmetry_Int_Tables_number 216
_symmetry_space_group_name_Hall 'F -4 2 3'
_cell_length_a 7.415
_cell_length_b 7.415
_cell_length_c 7.415
_cell_angle_alpha 90.00
_cell_angle_beta 90.00
_cell_angle_gamma 90.00
loop_
_atom_site_label
_atom_site_fract_x
_atom_site_fract_y
_atom_site_fract_z
Ac1 0.000 0.000 0.000
Th1 0.000 0.000 0.500
Ga1 0.250 0.250 0.250
Ru1 0.250 0.250 0.750
# D(E_F): 0.96 states/eV/atom
# ΔH_f (0 K): -0.709 eV per formula unit
# total DFT energy (no corrections): -98.16 eV per cell



No. 9
# AcTmGaRu GGA-PBE relaxed
data_AcTmGaRu
_symmetry_space_group_name_H-M 'F -4 3 m'
_symmetry_Int_Tables_number 216
_symmetry_space_group_name_Hall 'F -4 2 3'
_cell_length_a 7.264
_cell_length_b 7.264
_cell_length_c 7.264
_cell_angle_alpha 90.00
_cell_angle_beta 90.00
_cell_angle_gamma 90.00
loop_
_atom_site_label
_atom_site_fract_x
_atom_site_fract_y
_atom_site_fract_z
Ac1 0.000 0.000 0.000
Tm1 0.000 0.000 0.500
Ga1 0.250 0.250 0.750
Ru1 0.250 0.250 0.250
# D(E_F): 0.71 states/eV/atom
# ΔH_f (0 K): -0.957 eV per formula unit
# total DFT energy (no corrections): -87.36 eV per cell



No. 10
# AcYGaRu GGA-PBE relaxed
data_AcYGaRu
_symmetry_space_group_name_H-M 'F -4 3 m'
_symmetry_Int_Tables_number 216
_symmetry_space_group_name_Hall 'F -4 2 3'
_cell_length_a 7.318
_cell_length_b 7.318
_cell_length_c 7.318
_cell_angle_alpha 90.00
_cell_angle_beta 90.00
_cell_angle_gamma 90.00
loop_
_atom_site_label
_atom_site_fract_x
_atom_site_fract_y
_atom_site_fract_z
Ac1 0.000 0.000 0.000
Y1 0.000 0.000 0.500
Ga1 0.250 0.250 0.250
Ru1 0.250 0.250 0.750
# D(E_F): 0.69 states/eV/atom
# ΔH_f (0 K): -0.942 eV per formula unit
# total DFT energy (no corrections): -95.27 eV per cell



No. 11
# AcYGa2Ru2 GGA-PBE relaxed
data_AcYGa2Ru2
_symmetry_space_group_name_H-M 'P -3 m 1'
_symmetry_Int_Tables_number 164
_symmetry_space_group_name_Hall '-P 3 2"'
_cell_length_a 4.3483
_cell_length_b 4.3483
_cell_length_c 8.0494
_cell_angle_alpha 90.00
_cell_angle_beta 90.00
_cell_angle_gamma 120.00
loop_
_atom_site_label
_atom_site_fract_x
_atom_site_fract_y
_atom_site_fract_z
Ac1 0.0000 0.0000 0.0000
Y1 0.0000 0.0000 0.5000
Ga1 0.3333 0.6667 0.2855
Ru1 0.3333 0.6667 0.7268
# D(E_F): 0.63 states/eV/atom
# ΔH_f (0 K): -2.668 eV per formula unit
# total DFT energy (no corrections): -37.85 eV per cell



No. 12
# Ac2ZnGaRu2 GGA-PBE relaxed
data_Ac2ZnGaRu2
_symmetry_space_group_name_H-M 'I b a m'
_symmetry_Int_Tables_number 72
_symmetry_space_group_name_Hall '-I 2 2c'
_cell_length_a 5.918
_cell_length_b 15.536
_cell_length_c 5.953
_cell_angle_alpha 90.00
_cell_angle_beta 90.00
_cell_angle_gamma 90.00
loop_
_atom_site_label
_atom_site_fract_x
_atom_site_fract_y
_atom_site_fract_z
Ac1 0.246 0.162 0.000
Zn1 0.000 0.000 0.250
Ga1 0.000 0.500 0.250
Ru1 0.239 0.394 0.000
# D(E_F): 0.64 states/eV/atom
# ΔH_f (0 K): -1.513 eV per formula unit
# total DFT energy (no corrections): -130.33 eV per cell